# 1
Pr4HoPb4, relaxed, DFT PBE; ΔE_f = -2.99 eV per formula unit; magnetization = 0.0 μB per formula unit; N(E_F) = 0.740 states/eV/atom; SG = P4_2/n (86); energy = -4.613 eV/atom
1.0
9.652 0.000 0.000
0.000 9.652 0.000
0.000 0.000 6.612
Pr Ho Pb
8 2 8
Direct
0.028 0.671 0.117
0.171 0.972 0.617
0.329 0.528 0.617
0.472 0.829 0.117
0.528 0.171 0.883
0.671 0.472 0.383
0.829 0.028 0.383
0.972 0.329 0.883
0.250 0.250 0.250
0.750 0.750 0.750
0.025 0.654 0.608
0.154 0.975 0.108
0.346 0.525 0.108
0.475 0.846 0.608
0.525 0.154 0.392
0.654 0.475 0.892
0.846 0.025 0.892
0.975 0.346 0.392

=====

# 2
TaV2H4, relaxed, DFT PBE; magnetization = 0.0 μB per formula unit; N(E_F) = 0.403 states/eV/atom; polymorph energy (0 for the lowest one) = 432 meV per atom; SG = I4/mmm (139); energy = -5.954 eV/atom
1.0
-1.832 1.832 4.770
1.832 -1.832 4.770
1.832 1.832 -4.770
Ta V H
1 2 4
Direct
0.000 0.000 0.000
0.378 0.378 0.000
0.622 0.622 0.000
0.000 0.500 0.500
0.194 0.194 0.000
0.500 0.000 0.500
0.806 0.806 0.000

=====

# 3
Tb3Mg5, relaxed, DFT PBE; ΔE_f = -0.53 eV per formula unit; magnetization = 0.0 μB per formula unit; N(E_F) = 0.885 states/eV/atom; SG = Cmmm (65); energy = -2.799 eV/atom
1.0
3.847 -5.287 0.000
3.847 5.287 0.000
0.000 0.000 5.204
Tb Mg
3 5
Direct
0.000 0.000 0.000
0.259 0.741 0.500
0.741 0.259 0.500
0.000 0.500 0.000
0.254 0.254 0.500
0.500 0.000 0.000
0.500 0.500 0.000
0.746 0.746 0.500